Below is a geometry-optimized VHRu3 structure, with properties calculated at the PBE level.

a b c (Å): 4.4892 4.4892 4.4892
angles (deg): 90.00 90.00 90.00
Last column: nearest neighbours and their distance in Å.
Positions (direct):
Ru 0.0000 0.0000 0.5000  2 V 2.24
Ru 0.5000 0.0000 0.0000  2 V 2.24
H 0.5000 0.5000 0.5000  12 Ru 3.17
V 0.0000 0.0000 0.0000  6 Ru 2.24
Ru 0.0000 0.5000 0.0000  2 V 2.24

Properties
Volume in Å³ per cell: 90.5
SG: Pm-3m, No. 221
Density in Mg/m³: 6.52
DFT total energy in eV per atom: -6.196